# PBE SrMo2Ru, relaxed
# energy of formation	3.03	eV per formula unit
# energy relative to the lowest polymorph listed for this composition	215	meV/atom
# DOS at the Fermi energy	5.91	states/eV/f.u.
# total moment	0.00	Bohr magnetons per cell
# uncorrected energy	-7.40	eV/atom
data_SrMo2Ru
_cell_length_a 3.1724
_cell_length_b 3.1724
_cell_length_c 27.0042
_cell_angle_alpha 90.00
_cell_angle_beta 90.00
_cell_angle_gamma 120.00
_space_group_name_H-M_alt 'R 3 m'
_space_group_IT_number 160
_space_group_name_Hall 'R 3 -2"'
loop_
_atom_site_label
_atom_site_type_symbol
_atom_site_fract_x
_atom_site_fract_y
_atom_site_fract_z
Sr1 Sr 0.0000 0.0000 0.0000
Mo1 Mo 0.0000 0.0000 0.2293
Mo2 Mo 0.0000 0.0000 0.4965
Ru1 Ru 0.0000 0.0000 0.7595